(1)
# CdHgP2 (GGA-PBE, relaxed)
data_CdHgP2
_space_group_name_H-M_alt 'P 1'
_space_group_IT_number 1
_space_group_name_Hall 'P 1'
_cell_length_a 4.7747
_cell_length_b 4.7747
_cell_length_c 4.8231
_cell_angle_alpha 68.75
_cell_angle_beta 68.75
_cell_angle_gamma 106.62
loop_
_atom_site_label
_atom_site_type_symbol
_atom_site_fract_x
_atom_site_fract_y
_atom_site_fract_z
_atom_site_occupancy
P1 P 0.5000 0.5000 0.0000 1
Hg1 Hg 0.0000 0.5000 0.5000 1
Cd1 Cd 0.5000 0.0000 0.5000 1
P2 P 0.0000 0.0000 0.0000 1
# Energy of formation ... 0.392 eV per atom
# Excess energy over the best structure of this formula in the dataset ... 7.900 kcal/mol of atoms


(2)
# TlW5 (GGA-PBE, relaxed)
data_TlW5
_space_group_name_H-M_alt 'P 1'
_space_group_IT_number 1
_space_group_name_Hall 'P 1'
_cell_length_a 4.9938
_cell_length_b 4.9938
_cell_length_c 4.7488
_cell_angle_alpha 90.00
_cell_angle_beta 90.00
_cell_angle_gamma 120.00
loop_
_atom_site_label
_atom_site_type_symbol
_atom_site_fract_x
_atom_site_fract_y
_atom_site_fract_z
_atom_site_occupancy
Tl1 Tl 0.0000 0.0000 0.5000 1
W1 W 0.3504 0.3504 0.0000 1
W2 W 0.6496 0.0000 0.0000 1
W3 W 0.0000 0.6496 0.0000 1
W4 W 0.3333 0.6667 0.5000 1
W5 W 0.6667 0.3333 0.5000 1
# Energy of formation ... 0.718 eV per atom
# Excess energy over the best structure of this formula in the dataset ... 5.682 kcal/mol of atoms


(3)
# Sr2In6IrPd (GGA-PBE, relaxed)
data_Sr2In6IrPd
_space_group_name_H-M_alt 'P 1'
_space_group_IT_number 1
_space_group_name_Hall 'P 1'
_cell_length_a 7.3690
_cell_length_b 7.3690
_cell_length_c 7.3690
_cell_angle_alpha 60.00
_cell_angle_beta 60.00
_cell_angle_gamma 90.00
loop_
_atom_site_label
_atom_site_type_symbol
_atom_site_fract_x
_atom_site_fract_y
_atom_site_fract_z
_atom_site_occupancy
Ir1 Ir 0.0000 0.0000 0.0000 1
In1 In 0.7496 0.7496 0.5008 1
In2 In 0.2504 0.2504 0.4992 1
In3 In 0.7496 0.7496 0.0000 1
Sr1 Sr 0.2500 0.7500 0.5000 1
In4 In 0.7496 0.2504 0.0000 1
In5 In 0.2504 0.7496 0.0000 1
Sr2 Sr 0.7500 0.2500 0.5000 1
Pd1 Pd 0.5000 0.5000 0.0000 1
In6 In 0.2504 0.2504 0.0000 1
# Energy of formation ... -0.258 eV per atom


(4)
# Bi2Pd7Au2 (GGA-PBE, relaxed)
data_Bi2Pd7Au2
_space_group_name_H-M_alt 'P 1'
_space_group_IT_number 1
_space_group_name_Hall 'P 1'
_cell_length_a 5.0286
_cell_length_b 6.7389
_cell_length_c 6.7389
_cell_angle_alpha 89.00
_cell_angle_beta 108.60
_cell_angle_gamma 108.60
loop_
_atom_site_label
_atom_site_type_symbol
_atom_site_fract_x
_atom_site_fract_y
_atom_site_fract_z
_atom_site_occupancy
Bi1 Bi 0.5000 0.7661 0.2339 1
Bi2 Bi 0.5000 0.2339 0.7661 1
Pd1 Pd 0.8293 0.5926 0.5926 1
Pd2 Pd 0.0000 0.0000 0.0000 1
Au1 Au 0.4527 0.7421 0.7421 1
Pd3 Pd 0.1691 0.9283 0.4111 1
Pd4 Pd 0.8309 0.5889 0.0717 1
Pd5 Pd 0.8309 0.0717 0.5889 1
Au2 Au 0.5473 0.2579 0.2579 1
Pd6 Pd 0.1691 0.4111 0.9283 1
Pd7 Pd 0.1707 0.4074 0.4074 1
# Energy of formation ... -0.087 eV per atom


(5)
# Sn2AuBr8 (GGA-PBE, relaxed)
data_Sn2AuBr8
_space_group_name_H-M_alt 'P 1'
_space_group_IT_number 1
_space_group_name_Hall 'P 1'
_cell_length_a 7.3276
_cell_length_b 8.2047
_cell_length_c 8.2047
_cell_angle_alpha 70.88
_cell_angle_beta 85.26
_cell_angle_gamma 85.26
loop_
_atom_site_label
_atom_site_type_symbol
_atom_site_fract_x
_atom_site_fract_y
_atom_site_fract_z
_atom_site_occupancy
Br1 Br 0.8339 0.6801 0.0887 1
Sn1 Sn 0.3252 0.2032 0.2032 1
Br2 Br 0.2273 0.3915 0.3915 1
Br3 Br 0.8339 0.0887 0.6801 1
Sn2 Sn 0.6748 0.7968 0.7968 1
Br4 Br 0.1661 0.9113 0.3199 1
Br5 Br 0.1661 0.3199 0.9113 1
Au1 Au 0.0000 0.0000 0.0000 1
Br6 Br 0.3258 0.8549 0.8549 1
Br7 Br 0.6742 0.1451 0.1451 1
Br8 Br 0.7727 0.6085 0.6085 1
# Formation energy (no corrections) ... -0.430 eV/atom


(6)
# KRbSCl2 (GGA-PBE, relaxed)
data_KRbSCl2
_space_group_name_H-M_alt 'P 1'
_space_group_IT_number 1
_space_group_name_Hall 'P 1'
_cell_length_a 6.2022
_cell_length_b 6.2022
_cell_length_c 6.0378
_cell_angle_alpha 90.00
_cell_angle_beta 90.00
_cell_angle_gamma 90.00
loop_
_atom_site_label
_atom_site_type_symbol
_atom_site_fract_x
_atom_site_fract_y
_atom_site_fract_z
_atom_site_occupancy
Rb1 Rb 0.0000 0.0000 0.0000 1
Cl1 Cl 0.0000 0.5000 0.0000 1
S1 S 0.0000 0.0000 0.5000 1
K1 K 0.5000 0.5000 0.5000 1
Cl2 Cl 0.5000 0.0000 0.0000 1
# Excess energy over the best structure of this formula in the dataset ... 2.438 kcal/mol of atoms
# Formation energy (no corrections) ... -0.655 eV/atom


(7)
# CsMg14Cr (GGA-PBE, relaxed)
data_CsMg14Cr
_space_group_name_H-M_alt 'P 1'
_space_group_IT_number 1
_space_group_name_Hall 'P 1'
_cell_length_a 6.5392
_cell_length_b 6.5392
_cell_length_c 10.7653
_cell_angle_alpha 90.00
_cell_angle_beta 90.00
_cell_angle_gamma 120.00
loop_
_atom_site_label
_atom_site_type_symbol
_atom_site_fract_x
_atom_site_fract_y
_atom_site_fract_z
_atom_site_occupancy
Mg1 Mg 0.4953 0.9905 0.0000 1
Cs1 Cs 0.0000 0.0000 0.0000 1
Mg2 Mg 0.6626 0.8313 0.7249 1
Mg3 Mg 0.9909 0.4954 0.5000 1
Mg4 Mg 0.6667 0.3333 0.7596 1
Mg5 Mg 0.1687 0.8313 0.7249 1
Cr1 Cr 0.0000 0.0000 0.5000 1
Mg6 Mg 0.0095 0.5047 0.0000 1
Mg7 Mg 0.1687 0.3374 0.7249 1
Mg8 Mg 0.4953 0.5047 0.0000 1
Mg9 Mg 0.6667 0.3333 0.2404 1
Mg10 Mg 0.5046 0.0091 0.5000 1
Mg11 Mg 0.5046 0.4954 0.5000 1
Mg12 Mg 0.6626 0.8313 0.2751 1
Mg13 Mg 0.1687 0.3374 0.2751 1
Mg14 Mg 0.1687 0.8313 0.2751 1
# Energy of formation ... 0.240 eV per atom


(8)
# HfSc5Al6 (GGA-PBE, relaxed)
data_HfSc5Al6
_space_group_name_H-M_alt 'P 1'
_space_group_IT_number 1
_space_group_name_Hall 'P 1'
_cell_length_a 4.7768
_cell_length_b 8.2506
_cell_length_c 8.2506
_cell_angle_alpha 120.07
_cell_angle_beta 106.82
_cell_angle_gamma 106.82
loop_
_atom_site_label
_atom_site_type_symbol
_atom_site_fract_x
_atom_site_fract_y
_atom_site_fract_z
_atom_site_occupancy
Al1 Al 0.2514 0.0848 0.4179 1
Sc1 Sc 0.5000 0.1644 0.8356 1
Al2 Al 0.2487 0.7487 0.7487 1
Al3 Al 0.7486 0.9152 0.5821 1
Al4 Al 0.7513 0.2513 0.2513 1
Sc2 Sc 0.0000 0.6684 0.3316 1
Sc3 Sc 0.5000 0.5000 0.5000 1
Hf1 Hf 0.0000 0.0000 0.0000 1
Al5 Al 0.2514 0.4179 0.0848 1
Sc4 Sc 0.0000 0.3316 0.6684 1
Sc5 Sc 0.5000 0.8356 0.1644 1
Al6 Al 0.7486 0.5821 0.9152 1
# Energy of formation ... -0.409 eV per atom